The following is a PBE calculation of a geometry-optimized SmSc7In4 structure, from Alexandria via LeMat-Bulk.

Calculated values
DFT total energy = -60.95 eV per cell

```
12
Lattice="-0.7016 2.5717 4.5770 -4.5768 -5.4117 5.4038 5.0583 -1.8580 4.8841" Properties=species:S:1:pos:R:3 pbc="T T T"
In 1.7921 -0.9286 6.9259
In -1.5248 -1.0602 3.4267
In -2.0121 -3.7695 7.9390
In 1.3047 -3.6379 11.4382
Sc 1.2496 -1.0311 9.9651
Sc -0.9775 -0.6688 6.3554
Sc 1.4873 -0.9473 3.8250
Sc -1.4697 -3.6670 4.8998
Sc -1.7074 -3.7508 11.0400
Sc -0.3508 1.2858 2.2885
Sc 0.7574 -4.0292 8.5095
Sm 0.0000 0.0000 0.0000
```

=====

The following is a PBE calculation of a geometry-optimized RbTaAs2W structure, from Alexandria via LeMat-Bulk.

Calculated values
DFT total energy = -26.31 eV per cell

```
5
Lattice="4.9276 0.0000 0.0000 0.0000 5.5622 0.0000 0.0000 0.0000 4.9276" Properties=species:S:1:pos:R:3 pbc="T T T"
As 2.4638 0.0000 0.0000
As 0.0000 0.0000 2.4638
W 0.0000 0.0000 0.0000
Rb 0.0000 2.7811 0.0000
Ta 2.4638 2.7811 2.4638
```

=====

The following is a PBE calculation of a geometry-optimized BaMg2Sb structure, from Alexandria via LeMat-Bulk.

Calculated values
formation energy from raw total energies = -301.5 meV/atom

```
4
Lattice="5.1054 0.0000 0.0000 0.0000 4.9244 -0.0779 0.0000 0.7296 5.6487" Properties=species:S:1:pos:R:3 pbc="T T T"
Sb 2.5527 1.4135 1.3927
Mg 0.0000 1.9936 2.7642
Mg 0.0000 0.8334 0.0212
Ba 2.5527 4.2405 4.1781
```

=====

The following is a PBE calculation of a geometry-optimized CsErBeCl6 structure, from Alexandria via LeMat-Bulk.

Calculated values
formation energy from raw total energies = -1835.0 meV/atom

```
9
Lattice="-4.6733 4.4035 1.0397 -6.1947 -1.9024 0.5607 0.9497 -0.8157 7.7263" Properties=species:S:1:pos:R:3 pbc="T T T"
Cl -8.6831 0.7340 3.7099
Cl -5.5059 0.2312 3.2662
Cl -4.7854 1.5398 6.1153
Cl -7.1645 -0.6691 6.1740
Cl -6.6246 3.2449 3.7225
Cl -7.8583 2.4751 6.5916
Be -6.7709 1.2599 4.9300
Cs -3.7236 3.5877 8.7659
Er -3.1479 0.4258 4.3965
```

=====

The following is a PBE calculation of a geometry-optimized HfTlGe2W structure, from Alexandria via LeMat-Bulk.

Calculated values
DFT total energy = -29.69 eV per cell

```
5
Lattice="-3.8053 -0.6129 -2.8968 0.7425 -5.2943 0.1448 -2.8843 -0.2991 3.8521" Properties=species:S:1:pos:R:3 pbc="T T T"
Tl 0.3712 -2.6471 0.0724
Hf -2.9735 -3.1031 0.5501
Ge -1.9026 -0.3064 -1.4484
Ge -1.4421 -0.1496 1.9260
W 0.0000 0.0000 0.0000
```

=====

The following is a PBE calculation of a geometry-optimized Re2NiTe structure, from Alexandria via LeMat-Bulk.

Calculated values
formation energy from raw total energies = 408.3 meV/atom

```
4
Lattice="-1.6756 2.4085 1.0036 -1.0546 -1.7162 2.3575 5.0990 1.9925 3.7314" Properties=species:S:1:pos:R:3 pbc="T T T"
Te 2.6905 1.0514 1.9689
Ni 2.5065 1.8590 4.5138
Re 5.0790 1.9847 3.7168
Re -0.2589 0.7784 2.4901
```

=====

The following is a PBE calculation of a geometry-optimized RbBaRuRh2 structure, from Alexandria via LeMat-Bulk.

Calculated values
DFT total energy = -23.00 eV per cell

```
5
Lattice="4.8894 0.0000 0.0000 0.0000 5.5517 0.0000 0.0000 0.0000 4.8894" Properties=species:S:1:pos:R:3 pbc="T T T"
Ru 0.0000 0.0000 0.0000
Rb 0.0000 2.7759 0.0000
Ba 2.4447 2.7759 2.4447
Rh 2.4447 0.0000 0.0000
Rh 0.0000 0.0000 2.4447
```

=====

The following is a PBE calculation of a geometry-optimized Y2HoAg structure, from Alexandria via LeMat-Bulk.

Calculated values
DFT total energy = -83.46 eV per cell

```
16
Lattice="6.7920 0.0000 0.0000 0.0000 6.9135 0.0000 0.0000 0.0000 9.7510" Properties=species:S:1:pos:R:3 pbc="T T T"
Y 4.7791 5.4832 9.2571
Y 5.4090 2.0265 9.2571
Y 2.0130 1.4303 4.3816
Y 1.3831 4.8870 4.3816
Y 5.4090 2.0265 5.3694
Y 2.0130 1.4303 0.4939
Y 1.3831 4.8870 0.4939
Y 4.7791 5.4832 5.3694
Ag 0.1693 2.9885 2.4378
Ag 3.5653 0.4682 7.3133
Ag 3.2268 6.4453 2.4378
Ag 6.6228 3.9249 7.3133
Ho 0.7242 6.8620 7.3133
Ho 4.1202 3.5082 2.4378
Ho 6.0679 0.0514 2.4378
Ho 2.6719 3.4053 7.3133
```

=====

The following is a PBE calculation of a geometry-optimized Mg2IrW structure, from Alexandria via LeMat-Bulk.

Calculated values
DFT total energy = -24.40 eV per cell

```
4
Lattice="2.7817 0.0000 0.0000 0.0000 2.7817 0.0000 0.0000 0.0000 8.4729" Properties=species:S:1:pos:R:3 pbc="T T T"
Mg 0.0000 0.0000 4.4061
Mg 0.0000 0.0000 8.3033
Ir 1.3908 1.3908 6.3547
W 1.3908 1.3908 2.1182
```

=====

The following is a PBE calculation of a geometry-optimized BaIrCl2 structure, from Alexandria via LeMat-Bulk.

Calculated values
formation energy from raw total energies = -11.4 meV/atom

```
4
Lattice="-0.5761 4.7556 2.3121 -4.5195 2.7334 -0.6297 -3.3495 0.5799 4.0912" Properties=species:S:1:pos:R:3 pbc="T T T"
Cl 0.0000 0.0000 0.0000
Cl -2.1113 2.0172 1.4434
Ir -6.3338 6.0516 4.3302
Ba -4.2225 4.0344 2.8868
```

=====

The following is a PBE calculation of a geometry-optimized Ba2ScSe structure, from Alexandria via LeMat-Bulk.

Calculated values
formation energy from raw total energies = -274.9 meV/atom

```
4
Lattice="-2.1324 6.4557 2.5177 -6.1128 0.3582 3.8817 6.6158 -2.9223 -0.5034" Properties=species:S:1:pos:R:3 pbc="T T T"
Ba -3.6254 2.9961 2.8138
Ba -0.4972 0.4109 0.3859
Se -1.8098 0.4215 3.2890
Sc 0.1804 3.4702 2.6070
```

=====

The following is a PBE calculation of a geometry-optimized HoPuSc6 structure, from Alexandria via LeMat-Bulk.

Calculated values
DFT total energy = -54.99 eV per cell

```
8
Lattice="6.3588 -0.9111 -1.0306 -1.6002 6.2213 -1.0306 -1.6002 -1.7856 6.0480" Properties=species:S:1:pos:R:3 pbc="T T T"
Ho 1.5793 1.7623 1.9934
Sc -0.0438 -0.0489 4.0866
Sc 3.2023 3.5734 -0.0998
Sc 4.0422 0.4001 0.4526
Sc -0.0438 4.0617 0.4526
Sc 3.2023 -0.5372 3.5342
Sc -0.8837 3.1245 3.5342
Pu 0.0000 0.0000 0.0000
```